Record 1
First-principles (PBE) data for crystalline CsNiH6Pt at its relaxed geometry, as listed in Alexandria. Values from VASP.

Computed properties:
symmetry: P312 (149)

```
&SYSTEM
  ibrav = 0, nat = 9, ntyp = 4
/
ATOMIC_SPECIES
H 1.01 H.upf
Pt 195.08 Pt.upf
Cs 132.91 Cs.upf
Ni 58.69 Ni.upf
CELL_PARAMETERS angstrom
-2.822 3.756 -0.447
-3.937 0.314 2.584
3.205 2.946 4.525
ATOMIC_POSITIONS crystal
H 0.999 0.635 0.632
H 0.635 0.999 0.368
H 0.366 0.999 0.632
H 0.635 0.366 0.632
H 0.366 0.635 0.368
H 0.999 0.366 0.368
Pt 0.667 0.667 0.500
Cs 0.000 0.000 0.000
Ni 0.333 0.333 0.500
```

=====

Record 2
First-principles (PBE) data for crystalline Cs2Rb2NiH4 at its relaxed geometry, as listed in Alexandria. Values from VASP.

Computed properties:
symmetry: I4/mmm (139)

```
&SYSTEM
  ibrav = 0, nat = 9, ntyp = 4
/
ATOMIC_SPECIES
Cs 132.91 Cs.upf
H 1.01 H.upf
Rb 85.47 Rb.upf
Ni 58.69 Ni.upf
CELL_PARAMETERS angstrom
7.602 0.390 0.563
-3.307 6.856 -0.563
-3.307 -2.936 6.221
ATOMIC_POSITIONS crystal
Cs 0.500 0.250 0.750
Cs 0.500 0.750 0.250
H 0.000 0.870 0.130
H 0.260 0.130 0.130
H 0.740 0.870 0.870
H 0.000 0.130 0.870
Rb 0.000 0.707 0.707
Rb 0.000 0.293 0.293
Ni 0.000 0.000 0.000
```

=====

Record 3
First-principles (PBE) data for crystalline CsNiH6Rh at its relaxed geometry, as listed in Alexandria. Values from VASP.

Computed properties:
symmetry: P312 (149)

```
&SYSTEM
  ibrav = 0, nat = 9, ntyp = 4
/
ATOMIC_SPECIES
Cs 132.91 Cs.upf
H 1.01 H.upf
Ni 58.69 Ni.upf
Rh 102.91 Rh.upf
CELL_PARAMETERS angstrom
4.665 0.000 0.000
2.332 4.039 0.000
0.000 0.000 6.202
ATOMIC_POSITIONS crystal
Cs 0.000 0.000 0.000
H 0.645 0.988 0.374
H 0.988 0.645 0.626
H 0.367 0.645 0.374
H 0.988 0.367 0.374
H 0.645 0.367 0.626
H 0.367 0.988 0.626
Ni 0.667 0.667 0.500
Rh 0.333 0.333 0.500
```

=====

| no. | DFT total energy (eV per atom) |
| --- | --- |
| 1 | -3.78 |
| 2 | -2.47 |
| 3 | -3.86 |